11
Lattice="-3.539 0.058 1.597 -1.370 -4.468 -2.874 5.363 -2.056 7.240" Properties=species:S:1:pos:R:3 comment="Al8V2Ir, optimized geometry, DFT PBE" crystal_system=monoclinic space_group="C2/m, No. 12" pbc="T T T"
Al -2.133 -4.977 0.175
Al -1.639 -2.470 1.179
Al -0.653 -4.087 3.422
Al 1.107 -2.380 2.540
Al 2.587 -1.490 5.788
Al 2.093 -3.997 4.783
Al -0.799 -3.598 -1.641
Al 1.253 -2.869 7.603
Ir -1.770 0.029 0.798
V 0.327 -4.447 0.886
V 0.127 -2.019 5.076

4
Lattice="-3.445 -5.480 -3.330 5.255 3.365 3.747 -0.205 2.467 3.894" Properties=species:S:1:pos:R:3 comment="Al2VIr, optimized geometry, DFT PBE" crystal_system=monoclinic space_group="C2/m, No. 12" pbc="T T T"
Al -2.174 -4.024 -1.466
Al 3.780 4.376 5.778
V 0.000 0.000 0.000
Ir 2.525 2.916 3.821

10
Lattice="-1.190 2.663 -0.192 -0.321 -0.352 -2.884 -14.643 -6.372 2.407" Properties=species:S:1:pos:R:3 comment="Al4VIr5, optimized geometry, DFT PBE" crystal_system=tetragonal space_group="P4/mmm, No. 123" pbc="T T T"
Ir -2.368 0.454 -1.273
Ir -8.077 -2.030 -0.335
Ir -10.927 -3.270 0.134
Ir -5.227 -0.790 -0.803
Ir -13.786 -4.514 0.604
Al -5.886 -2.561 0.968
Al -11.636 -5.063 1.913
Al -3.007 -1.309 0.494
Al -8.756 -3.810 1.440
V 0.000 0.000 0.000

4
Lattice="2.778 0.000 0.000 1.389 2.406 0.000 1.389 0.802 8.473" Properties=species:S:1:pos:R:3 comment="AlVIr2, optimized geometry, DFT PBE" crystal_system=trigonal space_group="R-3m, No. 166" pbc="T T T"
Al 0.000 0.000 0.000
Ir 4.167 2.406 6.352
Ir 1.389 0.802 2.121
V 2.778 1.604 4.236

10
Lattice="-6.842 -2.328 0.283 1.991 -5.303 4.497 -0.479 1.674 2.186" Properties=species:S:1:pos:R:3 comment="Al2VIr2, optimized geometry, DFT PBE" crystal_system=tetragonal space_group="P4/mbm, No. 127" pbc="T T T"
V -2.425 -3.816 2.390
V 0.000 0.000 0.000
Al -0.162 -2.262 1.697
Al -0.795 -5.467 4.013
Al -4.056 -2.164 0.768
Al -4.689 -5.370 3.084
Ir -2.181 -0.826 1.940
Ir -5.273 -2.865 2.824
Ir -0.057 -3.093 4.142
Ir -3.149 -5.132 5.026

5
Lattice="-4.129 0.286 -2.225 -1.594 -3.653 2.489 -1.578 2.942 3.306" Properties=species:S:1:pos:R:3 comment="Al3VIr, optimized geometry, DFT PBE" crystal_system=cubic space_group="Pm-3m, No. 221" pbc="T T T"
V -3.650 -0.213 1.785
Al -2.064 0.143 -1.112
Al -0.797 -1.826 1.244
Al -0.789 1.471 1.653
Ir 0.000 0.000 0.000

10
Lattice="-6.353 0.447 3.605 -2.848 -5.120 -4.385 0.863 -1.995 1.769" Properties=species:S:1:pos:R:3 comment="AlV2Ir2, optimized geometry, DFT PBE" crystal_system=tetragonal space_group="P4/mbm, No. 127" pbc="T T T"
Al 0.000 0.000 0.000
Al -4.601 -2.337 -0.390
Ir -4.396 -0.396 1.699
Ir -1.889 -1.822 -1.134
Ir -7.313 -2.851 0.353
Ir -4.806 -4.277 -2.480
V -2.490 -4.318 -1.436
V -6.164 -4.988 -0.398
V -2.175 -1.680 1.386
V -5.848 -2.350 2.423

4
Lattice="-2.709 -0.369 -2.070 -2.367 -0.698 3.224 -0.768 3.976 0.297" Properties=species:S:1:pos:R:3 comment="AlVIr2, optimized geometry, DFT PBE" crystal_system=tetragonal space_group="P4/mmm, No. 123" pbc="T T T"
Ir -1.184 -0.349 1.612
Ir -0.384 1.988 0.149
Al -2.923 1.454 0.726
V -1.355 -0.184 -1.035

8
Lattice="6.951 0.000 0.000 0.000 6.951 0.000 3.475 3.475 2.638" Properties=species:S:1:pos:R:3 comment="Al2VIr, optimized geometry, DFT PBE" crystal_system=tetragonal space_group="I-42d, No. 122" pbc="T T T"
Ir 6.951 3.475 1.319
Ir 0.000 0.000 0.000
Al 5.364 1.738 0.660
Al 1.587 5.213 0.660
Al 8.688 8.839 1.979
Al 5.213 5.062 1.979
V 3.475 3.475 0.000
V 3.475 6.951 1.319

3
Lattice="-0.619 2.679 0.245 -4.111 -0.935 -0.167 1.987 0.118 3.720" Properties=species:S:1:pos:R:3 comment="AlVIr, optimized geometry, DFT PBE" crystal_system=trigonal space_group="P3m1, No. 156" pbc="T T T"
Al -0.584 2.528 0.232
Ir -2.508 1.275 1.299
V -0.270 0.737 2.513

10
Lattice="-1.409 -2.371 -0.355 0.302 -0.584 2.702 -15.391 8.613 3.585" Properties=species:S:1:pos:R:3 comment="AlV4Ir5, optimized geometry, DFT PBE" crystal_system=tetragonal space_group="P4/mmm, No. 123" pbc="T T T"
V -3.009 1.684 0.701
V -12.382 6.929 2.884
V -9.255 5.179 2.156
V -6.135 3.433 1.429
Ir -8.249 2.829 2.966
Ir -5.144 1.092 2.243
Ir -2.038 -0.647 1.519
Ir -11.353 4.566 3.689
Ir -14.459 6.304 4.412
Al 0.000 0.000 0.000

4
Lattice="-0.152 -1.268 -3.927 -3.419 -1.233 0.530 -1.335 3.271 -1.004" Properties=species:S:1:pos:R:3 comment="AlV2Ir, optimized geometry, DFT PBE" crystal_system=tetragonal space_group="P4/mmm, No. 123" pbc="T T T"
Ir -2.453 0.385 -2.200
V -0.668 1.636 -0.502
V -1.710 -0.616 0.265
Al -0.076 -0.634 -1.963

8
Lattice="-0.278 -5.124 3.041 5.429 1.036 2.242 0.731 0.116 6.112" Properties=species:S:1:pos:R:3 comment="AlVIr2, optimized geometry, DFT PBE" crystal_system=tetragonal space_group="I-42d, No. 122" pbc="T T T"
Al 2.576 -2.044 2.641
Al 4.368 -0.446 5.497
Ir 3.545 0.108 3.266
Ir 0.684 -3.116 3.752
Ir 2.404 -1.460 6.533
Ir 5.132 -3.475 9.238
V 1.514 -3.525 5.897
V 0.000 0.000 0.000

4
Lattice="2.896 0.000 0.000 0.000 2.896 0.000 0.000 0.000 6.773" Properties=species:S:1:pos:R:3 comment="Al2VIr, optimized geometry, DFT PBE" crystal_system=tetragonal space_group="P4/mmm, No. 123" pbc="T T T"
Al 0.000 0.000 1.579
Al 0.000 0.000 5.195
V 1.448 1.448 3.387
Ir 1.448 1.448 0.000

5
Lattice="4.597 0.000 0.000 0.000 4.597 0.000 0.000 0.000 4.597" Properties=species:S:1:pos:R:3 comment="AlV3Ir, optimized geometry, DFT PBE" crystal_system=cubic space_group="Pm-3m, No. 221" pbc="T T T"
Al 2.299 2.299 2.299
V 0.000 2.299 0.000
V 0.000 0.000 2.299
V 2.299 0.000 0.000
Ir 0.000 0.000 0.000

4
Lattice="-1.832 -3.905 -0.035 1.443 -3.083 2.650 -2.415 -1.280 3.338" Properties=species:S:1:pos:R:3 comment="Al2VIr, optimized geometry, DFT PBE" crystal_system=cubic space_group="Fm-3m, No. 225" pbc="T T T"
Al -2.103 -6.201 4.465
Al -0.701 -2.067 1.488
Ir -1.402 -4.134 2.976
V 0.000 0.000 0.000

4
Lattice="-1.239 -1.983 -1.634 -0.868 -1.385 2.338 -5.788 3.620 -0.006" Properties=species:S:1:pos:R:3 comment="AlVIr2, optimized geometry, DFT PBE" crystal_system=tetragonal space_group="P4/mmm, No. 123" pbc="T T T"
Ir -4.381 2.739 -0.004
Ir -1.408 0.880 -0.001
Al -1.053 -1.684 0.352
V -3.948 0.126 0.349

5
Lattice="-3.435 -0.340 -2.910 -0.536 -4.336 1.139 -2.881 1.212 3.259" Properties=species:S:1:pos:R:3 comment="AlVIr3, optimized geometry, DFT PBE" crystal_system=cubic space_group="Pm-3m, No. 221" pbc="T T T"
Ir -0.268 -2.168 0.569
Ir -1.440 0.606 1.629
Ir -1.718 -0.170 -1.455
V 0.000 0.000 0.000
Al -3.426 -1.732 0.744

3
Lattice="-2.799 -1.900 2.392 -0.047 -4.135 0.249 1.195 -1.879 3.494" Properties=species:S:1:pos:R:3 comment="AlVIr, optimized geometry, DFT PBE" crystal_system=cubic space_group="F-43m, No. 216" pbc="T T T"
V 0.000 0.000 0.000
Ir -0.413 -1.978 1.534
Al -0.825 -3.957 3.068

5
Lattice="-2.882 -2.830 -1.794 3.341 -2.248 -1.821 0.253 -2.544 3.605" Properties=species:S:1:pos:R:3 comment="AlVIr3, optimized geometry, DFT PBE" crystal_system=cubic space_group="Pm-3m, No. 221" pbc="T T T"
Al 0.000 0.000 0.000
Ir -1.441 -1.415 -0.897
Ir 1.670 -1.124 -0.911
Ir 0.127 -1.272 1.802
V 0.356 -3.811 -0.005

Q: Which E values were calculated for the entries above? A: -5.459; -6.760; -7.694; -8.114; -7.414; -5.595; -8.346; -8.220; -6.334; -7.708; -9.039; -8.149; -7.283; -6.913; -7.116; -6.953; -8.376; -6.858; -7.638; -6.984, in eV/atom.
Q: Which DOS at the Fermi energy values were calculated for the entries above? A: 7.193; 2.850; 2.760; 3.196; 3.350; 3.832; 3.331; 4.025; 2.716; 2.434; 10.356; 3.753; 0.873; 1.225; 6.803; 2.328; 2.982; 4.798; 5.385; 7.169, in states/eV/f.u..
Q: Which spin magnetization values were calculated for the entries above? A: 0.00; 0.00; 0.00; 0.00; 3.15; 4.19; 0.00; 1.06; 0.00; 0.00; 0.00; 0.00; 0.00; 0.00; 0.73; 2.64; 0.39; 0.00; 0.60; 1.32, in μB per cell.